Entry 1:
A geometry-optimized ErTmRu2 structure, computed with PBE.

## Properties
SG	Fm-3m, No. 225
crystal system	cubic
energy of formation from the pure elements	-0.4023	eV/atom

Cell lengths 4.7554, 4.7554, 4.7555 Å; angles 60.00, 60.00, 60.00 degrees
Last column: nearest neighbours and their distance in Å.
Fractional coordinates of all 4 atoms:
Er 0.2500 0.2500 0.2500  8 Ru 2.91
Ru 0.5000 0.5000 0.5000  4 Tm 2.91, 4 Er 2.91
Ru 0.0000 0.0000 0.0000  4 Er 2.91, 4 Tm 2.91
Tm 0.7500 0.7500 0.7500  8 Ru 2.91

***

Entry 2:
A geometry-optimized Dy3Ga2Rh5 structure, computed with PBE.

## Properties
SG	P4/mbm, No. 127
crystal system	tetragonal
energy of formation from the pure elements	-0.8399	eV/atom

Cell lengths 3.6026, 10.0174, 10.0174 Å; angles 90.00, 90.00, 90.00 degrees
Last column: nearest neighbours and their distance in Å.
Fractional coordinates of all 20 atoms:
Ga 0.0000 0.1231 0.6231  6 Rh 2.50-2.51
Ga 0.0000 0.3769 0.1231  6 Rh 2.50-2.51
Ga 0.0000 0.6231 0.8769  6 Rh 2.50-2.51
Ga 0.0000 0.8769 0.3769  6 Rh 2.50-2.51
Rh 0.5000 0.9287 0.2122  2 Ga 2.50
Rh 0.5000 0.7122 0.4287  2 Ga 2.50
Rh 0.5000 0.0713 0.7878  2 Ga 2.50
Rh 0.5000 0.2122 0.0713  2 Ga 2.50
Rh 0.5000 0.0000 0.5000  4 Ga 2.51
Rh 0.5000 0.4287 0.2878  2 Ga 2.50
Rh 0.5000 0.5713 0.7122  2 Ga 2.50
Rh 0.5000 0.2878 0.5713  2 Ga 2.50
Rh 0.5000 0.5000 0.0000  4 Ga 2.51
Rh 0.5000 0.7878 0.9287  2 Ga 2.50
Dy 0.0000 0.3270 0.8270  3 Ga 2.89-3.01, 6 Rh 3.04-3.16
Dy 0.0000 0.6730 0.1730  3 Ga 2.89-3.01, 6 Rh 3.04-3.16
Dy 0.0000 0.5000 0.5000  8 Rh 2.88
Dy 0.0000 0.0000 0.0000  8 Rh 2.88
Dy 0.0000 0.1730 0.3270  3 Ga 2.89-3.01, 6 Rh 3.04-3.16
Dy 0.0000 0.8270 0.6730  3 Ga 2.89-3.01, 6 Rh 3.04-3.16

***

Entry 3:
A geometry-optimized TlPIr3 structure, computed with PBE.

## Properties
energy above the most stable polymorph in this dataset	0.0	kJ/mol of formula units
SG	Pm-3m, No. 221
crystal system	cubic
energy of formation from the pure elements	0.5584	eV/atom

Cell lengths 4.4812, 4.4812, 4.4812 Å; angles 90.00, 90.00, 90.00 degrees
Last column: nearest neighbours and their distance in Å.
Fractional coordinates of all 5 atoms:
Ir 0.0000 0.0000 0.5000  2 P 2.24
Ir 0.0000 0.5000 0.0000  2 P 2.24
Ir 0.5000 0.0000 0.0000  2 P 2.24
Tl 0.5000 0.5000 0.5000  12 Ir 3.17
P 0.0000 0.0000 0.0000  6 Ir 2.24

***

Entry 4:
A geometry-optimized La2ZnPdO5 structure, computed with PBE.

## Properties
SG	P4/mbm, No. 127
crystal system	tetragonal
uncorrected formation energy	-1909	meV/atom

Cell lengths 5.6895, 6.9575, 6.9575 Å; angles 90.00, 90.00, 90.00 degrees
Last column: nearest neighbours and their distance in Å.
Fractional coordinates of all 18 atoms:
Pd 0.0000 0.5000 0.0000  4 O 1.98
Pd 0.0000 0.0000 0.5000  4 O 1.98
La 0.5000 0.6747 0.1747  4 O 2.31-2.57
La 0.5000 0.3253 0.8253  4 O 2.31-2.57
La 0.5000 0.8253 0.6747  4 O 2.31-2.57
La 0.5000 0.1747 0.3253  4 O 2.31-2.57
Zn 0.0000 0.0000 0.0000  10 O 2.84-3.02
Zn 0.0000 0.5000 0.5000  10 O 2.84-3.02
O 0.7546 0.6428 0.8572  1 Pd 1.98
O 0.2454 0.3572 0.1428  1 Pd 1.98
O 0.2454 0.1428 0.6428  1 Pd 1.98
O 0.7546 0.8572 0.3572  1 Pd 1.98
O 0.2454 0.6428 0.8572  1 Pd 1.98
O 0.5000 0.5000 0.5000  4 La 2.57, 2 Zn 2.84
O 0.7546 0.3572 0.1428  1 Pd 1.98
O 0.2454 0.8572 0.3572  1 Pd 1.98
O 0.5000 0.0000 0.0000  4 La 2.57, 2 Zn 2.84
O 0.7546 0.1428 0.6428  1 Pd 1.98

***

Entry 5:
A geometry-optimized CsTlSeN2 structure, computed with PBE.

## Properties
energy above the most stable polymorph in this dataset	0.0	kJ/mol of formula units
SG	P4/mmm, No. 123
crystal system	tetragonal
uncorrected formation energy	1248	meV/atom

Cell lengths 4.9862, 4.9862, 5.5688 Å; angles 90.00, 90.00, 90.00 degrees
Last column: nearest neighbours and their distance in Å.
Fractional coordinates of all 5 atoms:
Tl 0.0000 0.0000 0.0000  4 N 2.49, 2 Se 2.78
Cs 0.5000 0.5000 0.5000  4 Se 3.53, 8 N 3.74
Se 0.0000 0.0000 0.5000  2 Tl 2.78
N 0.5000 0.0000 0.0000  2 Tl 2.49
N 0.0000 0.5000 0.0000  2 Tl 2.49

***

Entry 6:
A geometry-optimized Ti2CoReH structure, computed with PBE.

## Properties
energy above the most stable polymorph in this dataset	100.5	kJ/mol of formula units
SG	P4/mmm, No. 123
crystal system	tetragonal

Cell lengths 4.1999, 4.1999, 3.4407 Å; angles 90.00, 90.00, 90.00 degrees
Last column: nearest neighbours and their distance in Å.
Fractional coordinates of all 5 atoms:
Co 0.5000 0.5000 0.5000  8 Ti 2.71, 4 Re 2.97
Ti 0.0000 0.5000 0.0000  2 H 2.10
Ti 0.5000 0.0000 0.0000  2 H 2.10
Re 0.0000 0.0000 0.5000  2 H 1.72
H 0.0000 0.0000 0.0000  2 Re 1.72

***

Entry 7:
A geometry-optimized BiRhI2O structure, computed with PBE.

## Properties
energy above the most stable polymorph in this dataset	0.0	kJ/mol of formula units
SG	P4/mmm, No. 123
crystal system	tetragonal
uncorrected formation energy	-55	meV/atom

Cell lengths 5.8029, 5.8029, 3.7635 Å; angles 90.00, 90.00, 90.00 degrees
Last column: nearest neighbours and their distance in Å.
Fractional coordinates of all 5 atoms:
Rh 0.0000 0.0000 0.0000  2 O 1.88
I 0.0000 0.5000 0.0000  2 Rh 2.90
I 0.5000 0.0000 0.0000  2 Rh 2.90
Bi 0.5000 0.5000 0.5000  8 I 3.46, 2 Bi 3.76
O 0.0000 0.0000 0.5000  2 Rh 1.88

***

Entry 8:
A geometry-optimized Nd6Er12Tm structure, computed with PBE.

## Properties
energy above the most stable polymorph in this dataset	169.9	kJ/mol of formula units
SG	R-3m, No. 166
crystal system	trigonal
energy of formation from the pure elements	0.2190	eV/atom

Cell lengths 8.6970, 8.6970, 8.6970 Å; angles 98.67, 98.67, 98.67 degrees
Last column: nearest neighbours and their distance in Å.
Fractional coordinates of all 19 atoms:
Er 0.5000 0.2437 0.7563  6 Er 3.34-3.52, 4 Nd 3.47-3.57
Er 0.2437 0.5000 0.7563  6 Er 3.34-3.52, 4 Nd 3.47-3.57
Er 0.9184 0.6451 0.6451  6 Er 3.34-3.61, 2 Nd 3.70
Er 0.7563 0.5000 0.2437  6 Er 3.34-3.52, 4 Nd 3.47-3.57
Er 0.2437 0.7563 0.5000  6 Er 3.34-3.52, 4 Nd 3.47-3.57
Er 0.3549 0.3549 0.0816  6 Er 3.34-3.61, 2 Nd 3.70
Er 0.3549 0.0816 0.3549  6 Er 3.34-3.61, 2 Nd 3.70
Er 0.6451 0.9184 0.6451  6 Er 3.34-3.61, 2 Nd 3.70
Er 0.0816 0.3549 0.3549  6 Er 3.34-3.61, 2 Nd 3.70
Er 0.6451 0.6451 0.9184  6 Er 3.34-3.61, 2 Nd 3.70
Er 0.7563 0.2437 0.5000  6 Er 3.34-3.52, 4 Nd 3.47-3.57
Er 0.5000 0.7563 0.2437  6 Er 3.34-3.52, 4 Nd 3.47-3.57
Nd 0.3433 0.9030 0.9030  1 Nd 3.08, 1 Tm 3.41
Nd 0.6567 0.0970 0.0970  1 Nd 3.08, 1 Tm 3.41
Nd 0.0970 0.0970 0.6567  1 Nd 3.08, 1 Tm 3.41
Nd 0.0970 0.6567 0.0970  1 Nd 3.08, 1 Tm 3.41
Nd 0.9030 0.9030 0.3433  1 Nd 3.08, 1 Tm 3.41
Nd 0.9030 0.3433 0.9030  1 Nd 3.08, 1 Tm 3.41
Tm 0.0000 0.0000 0.0000  6 Nd 3.41

***

Entry 9:
A geometry-optimized Na2BiPb structure, computed with PBE.

## Properties
SG	P4/mmm, No. 123
crystal system	tetragonal
energy of formation from the pure elements	-0.1951	eV/atom

Cell lengths 3.8459, 3.8459, 7.7561 Å; angles 90.00, 90.00, 90.00 degrees
Last column: nearest neighbours and their distance in Å.
Fractional coordinates of all 4 atoms:
Bi 0.5000 0.5000 0.0000  8 Na 3.33
Na 0.0000 0.0000 0.2485  4 Bi 3.33, 4 Pb 3.35
Na 0.0000 0.0000 0.7515  4 Bi 3.33, 4 Pb 3.35
Pb 0.5000 0.5000 0.5000  8 Na 3.35

***

Entry 10:
A geometry-optimized Sn2Pd4Pb3 structure, computed with PBE.

## Properties
SG	C2/m, No. 12
crystal system	monoclinic
energy of formation from the pure elements	-0.2770	eV/atom

Cell lengths 4.3288, 5.7339, 9.0180 Å; angles 97.97, 90.00, 112.18 degrees
Last column: nearest neighbours and their distance in Å.
Fractional coordinates of all 9 atoms:
Pb 0.3753 0.7506 0.6033  6 Pd 2.92-3.17, 1 Sn 3.26
Pb 0.6247 0.2494 0.3967  6 Pd 2.92-3.17, 1 Sn 3.26
Pb 0.0000 0.0000 0.0000  6 Pd 3.12-3.38, 4 Sn 3.45
Pd 0.9046 0.8091 0.3766  2 Sn 2.70, 2 Pd 2.78-3.01, 1 Pb 3.00
Pd 0.0954 0.1909 0.6234  2 Sn 2.70, 2 Pd 2.78-3.01, 1 Pb 3.00
Pd 0.7062 0.4125 0.1012  3 Sn 2.67-2.72, 1 Pb 2.92
Pd 0.2938 0.5875 0.8988  3 Sn 2.67-2.72, 1 Pb 2.92
Sn 0.3397 0.6793 0.2036  5 Pd 2.67-2.72
Sn 0.6603 0.3207 0.7964  5 Pd 2.67-2.72